*1*
Density functional theory data (PBE+U) for an optimized crystal structure of Li2VPO6.

a b c (Å): 4.844 4.844 4.578
angles (deg): 90.00 90.00 90.00
Fractional positions:
Li 0.000 0.500 0.000
Li 0.500 0.000 0.000
V 0.000 0.000 0.625
P 0.500 0.500 0.625
O 0.000 0.000 0.266
O 0.265 0.265 0.742
O 0.265 0.735 0.742
O 0.500 0.500 0.293
O 0.735 0.265 0.742
O 0.735 0.735 0.742

## Properties
Space group: P4mm, No. 99
Spin magnetization: 0.0 μB per formula unit

---

*2*
Density functional theory data (PBE+U) for an optimized crystal structure of Li2VPO6.

a b c (Å): 10.508 4.708 8.672
angles (deg): 90.00 90.00 90.00
Fractional positions:
Li 0.086 0.027 0.000
Li 0.130 0.536 0.296
Li 0.370 0.036 0.796
Li 0.414 0.527 0.500
Li 0.586 0.473 0.000
Li 0.630 0.964 0.296
Li 0.870 0.464 0.796
Li 0.914 0.973 0.500
V 0.112 0.480 0.677
V 0.388 0.980 0.177
V 0.612 0.020 0.677
V 0.888 0.520 0.177
P 0.218 0.083 0.479
P 0.282 0.583 0.979
P 0.718 0.417 0.479
P 0.782 0.917 0.979
O 0.011 0.301 0.149
O 0.052 0.254 0.805
O 0.083 0.232 0.488
O 0.212 0.737 0.114
O 0.214 0.760 0.489
O 0.223 0.684 0.822
O 0.277 0.184 0.322
O 0.286 0.260 0.989
O 0.288 0.237 0.614
O 0.417 0.732 0.988
O 0.448 0.754 0.305
O 0.489 0.801 0.649
O 0.511 0.199 0.149
O 0.552 0.246 0.805
O 0.583 0.268 0.488
O 0.712 0.763 0.114
O 0.714 0.740 0.489
O 0.723 0.816 0.822
O 0.777 0.316 0.322
O 0.786 0.240 0.989
O 0.788 0.263 0.614
O 0.917 0.768 0.988
O 0.948 0.746 0.305
O 0.989 0.699 0.649

## Properties
Space group: Pna2_1, No. 33
Spin magnetization: 0.0 μB per formula unit

---

Relative to the most stable structure, the computed energies are *1* 248; *2* 0, all in meV/atom.

---

*1*
Density functional theory data (PBE+U) for an optimized crystal structure of LiVPO4.

a b c (Å): 5.776 5.776 5.776
angles (deg): 120.83 117.80 91.20
Fractional positions:
Li 0.500 0.000 0.000
Li 0.500 0.500 0.500
V 0.000 0.000 0.000
V 0.500 0.000 0.500
P 0.122 0.372 0.750
P 0.878 0.628 0.250
O 0.201 0.734 0.467
O 0.233 0.266 0.967
O 0.239 0.265 0.527
O 0.239 0.712 0.973
O 0.761 0.288 0.027
O 0.761 0.735 0.473
O 0.767 0.734 0.033
O 0.799 0.266 0.533

## Properties
Space group: Imma, No. 74
Spin magnetization: 3.0 μB per formula unit

---

*2*
Density functional theory data (PBE+U) for an optimized crystal structure of LiVPO4.

a b c (Å): 7.451 5.492 6.424
angles (deg): 76.97 45.90 57.13
Fractional positions:
Li 0.000 0.000 0.000
Li 0.250 0.250 0.250
V 0.372 0.372 0.628
V 0.622 0.622 0.878
P 0.684 0.684 0.316
P 0.934 0.934 0.566
O 0.019 0.540 0.126
O 0.055 0.602 0.594
O 0.124 0.934 0.231
O 0.502 0.656 0.648
O 0.540 0.019 0.316
O 0.602 0.055 0.748
O 0.656 0.502 0.195
O 0.934 0.124 0.710

## Properties
Space group: Fdd2, No. 43
Spin magnetization: 3.0 μB per formula unit

---

*3*
Density functional theory data (PBE+U) for an optimized crystal structure of LiVPO4.

a b c (Å): 5.672 6.532 9.397
angles (deg): 72.70 79.53 74.02
Fractional positions:
Li 0.163 0.130 0.141
Li 0.302 0.968 0.768
Li 0.698 0.032 0.232
Li 0.837 0.870 0.859
V 0.217 0.331 0.422
V 0.303 0.446 0.790
V 0.697 0.554 0.210
V 0.783 0.669 0.578
P 0.153 0.682 0.087
P 0.322 0.802 0.456
P 0.678 0.198 0.544
P 0.847 0.318 0.913
O 0.120 0.175 0.904
O 0.130 0.446 0.189
O 0.155 0.650 0.457
O 0.203 0.040 0.375
O 0.228 0.682 0.919
O 0.336 0.769 0.141
O 0.372 0.764 0.623
O 0.408 0.253 0.626
O 0.592 0.747 0.374
O 0.628 0.236 0.377
O 0.664 0.231 0.859
O 0.772 0.318 0.081
O 0.797 0.960 0.625
O 0.845 0.350 0.543
O 0.870 0.554 0.811
O 0.880 0.825 0.096

## Properties
Space group: P-1, No. 2
Spin magnetization: 3.0 μB per formula unit

---

*4*
Density functional theory data (PBE+U) for an optimized crystal structure of LiVPO4.

a b c (Å): 10.512 6.109 4.769
angles (deg): 90.00 90.00 90.00
Fractional positions:
Li 0.000 0.000 0.000
Li 0.000 0.500 0.000
Li 0.500 0.000 0.500
Li 0.500 0.500 0.500
V 0.225 0.250 0.480
V 0.275 0.750 0.980
V 0.725 0.250 0.020
V 0.775 0.750 0.520
P 0.091 0.750 0.411
P 0.409 0.250 0.911
P 0.591 0.750 0.089
P 0.909 0.250 0.589
O 0.047 0.250 0.708
O 0.096 0.750 0.733
O 0.160 0.548 0.274
O 0.160 0.952 0.274
O 0.340 0.048 0.774
O 0.340 0.452 0.774
O 0.404 0.250 0.233
O 0.453 0.750 0.208
O 0.547 0.250 0.792
O 0.596 0.750 0.767
O 0.660 0.548 0.226
O 0.660 0.952 0.226
O 0.840 0.048 0.726
O 0.840 0.452 0.726
O 0.904 0.250 0.267
O 0.953 0.750 0.292

## Properties
Space group: Pnma, No. 62
Spin magnetization: 3.0 μB per formula unit

---

Relative to the most stable structure, the computed energies are *1* 86; *2* 76; *3* 64; *4* 0, all in meV/atom.

---

*1*
Density functional theory data (PBE+U) for an optimized crystal structure of LiVPO5.

a b c (Å): 9.126 6.366 6.365
angles (deg): 90.00 90.00 90.00
Fractional positions:
Li 0.242 0.013 0.000
Li 0.258 0.513 0.500
Li 0.742 0.487 0.000
Li 0.758 0.987 0.500
V 0.040 0.754 0.264
V 0.460 0.254 0.764
V 0.540 0.746 0.264
V 0.960 0.246 0.764
P 0.000 0.251 0.263
P 0.000 0.749 0.763
P 0.500 0.249 0.263
P 0.500 0.751 0.763
O 0.098 0.449 0.276
O 0.099 0.765 0.960
O 0.101 0.738 0.568
O 0.102 0.056 0.249
O 0.141 0.240 0.771
O 0.359 0.740 0.271
O 0.398 0.556 0.749
O 0.399 0.238 0.068
O 0.401 0.265 0.460
O 0.402 0.949 0.776
O 0.598 0.051 0.276
O 0.599 0.735 0.960
O 0.601 0.762 0.568
O 0.602 0.444 0.249
O 0.641 0.260 0.771
O 0.859 0.760 0.271
O 0.898 0.944 0.749
O 0.899 0.262 0.068
O 0.901 0.235 0.460
O 0.902 0.551 0.776

## Properties
Space group: Pna2_1, No. 33
Spin magnetization: 1.0 μB per formula unit

---

*2*
Density functional theory data (PBE+U) for an optimized crystal structure of LiVPO5.

a b c (Å): 4.546 6.363 6.363
angles (deg): 88.34 90.00 90.00
Fractional positions:
Li 0.016 0.250 0.750
Li 0.984 0.750 0.250
V 0.418 0.512 0.012
V 0.582 0.012 0.512
P 0.500 0.011 0.011
P 0.500 0.511 0.511
O 0.220 0.020 0.520
O 0.296 0.516 0.316
O 0.296 0.816 0.016
O 0.299 0.209 0.006
O 0.299 0.506 0.709
O 0.701 0.006 0.209
O 0.701 0.709 0.506
O 0.704 0.016 0.816
O 0.704 0.316 0.516
O 0.780 0.520 0.020

## Properties
Space group: Aem2, No. 39
Spin magnetization: 1.0 μB per formula unit

---

Relative to the most stable structure, the computed energies are *1* 0; *2* 6, all in meV/atom.

---

*1*
Density functional theory data (PBE+U) for an optimized crystal structure of LiVPO5.

a b c (Å): 5.972 8.705 10.281
angles (deg): 115.03 90.27 109.72
Fractional positions:
Li 0.114 0.270 0.109
Li 0.159 0.275 0.606
Li 0.841 0.725 0.394
Li 0.886 0.730 0.891
V 0.207 0.000 0.250
V 0.255 0.010 0.755
V 0.745 0.990 0.245
V 0.793 0.000 0.750
P 0.342 0.720 0.228
P 0.374 0.725 0.730
P 0.626 0.275 0.270
P 0.658 0.280 0.772
O 0.047 0.112 0.888
O 0.073 0.114 0.386
O 0.176 0.818 0.323
O 0.193 0.804 0.816
O 0.233 0.518 0.154
O 0.291 0.524 0.650
O 0.361 0.179 0.176
O 0.392 0.827 0.130
O 0.394 0.195 0.682
O 0.434 0.840 0.636
O 0.566 0.160 0.364
O 0.606 0.805 0.318
O 0.608 0.173 0.870
O 0.639 0.821 0.824
O 0.709 0.476 0.350
O 0.767 0.482 0.846
O 0.807 0.196 0.184
O 0.824 0.182 0.677
O 0.927 0.886 0.614
O 0.953 0.888 0.112

## Properties
Space group: P-1, No. 2
Spin magnetization: 1.0 μB per formula unit

---

*2*
Density functional theory data (PBE+U) for an optimized crystal structure of LiVPO5.

a b c (Å): 5.607 6.041 7.320
angles (deg): 111.48 109.07 94.51
Fractional positions:
Li 0.209 0.184 0.105
Li 0.791 0.816 0.895
V 0.327 0.400 0.785
V 0.673 0.600 0.215
P 0.204 0.840 0.664
P 0.796 0.160 0.336
O 0.018 0.702 0.429
O 0.068 0.902 0.819
O 0.287 0.475 0.022
O 0.381 0.075 0.695
O 0.402 0.677 0.716
O 0.598 0.323 0.284
O 0.619 0.925 0.305
O 0.713 0.525 0.978
O 0.932 0.098 0.181
O 0.982 0.298 0.571

## Properties
Space group: P-1, No. 2
Spin magnetization: 1.0 μB per formula unit

---

Relative to the most stable structure, the computed energies are *1* 35; *2* 0, all in meV/atom.